KNa2Sb2Au2: optimized geometry, GGA-PBE.

Cell and atoms, written as CIF:
```
data_KNa2Sb2Au2
_chemical_formula_sum 'K3 Na6 Sb6 Au6'
_space_group_name_H-M_alt 'R -3 m'
_space_group_IT_number 166
_space_group_name_Hall '-R 3 2"'
_cell_length_a 4.7452
_cell_length_b 4.7452
_cell_length_c 30.8491
_cell_angle_alpha 90.00
_cell_angle_beta 90.00
_cell_angle_gamma 120.00
loop_
_atom_site_label
_atom_site_type_symbol
_atom_site_fract_x
_atom_site_fract_y
_atom_site_fract_z
_atom_site_occupancy
K1 K 0.0000 0.0000 0.0000 1
Na1 Na 0.0000 0.0000 0.1391 1
Sb1 Sb 0.0000 0.0000 0.2501 1
Au1 Au 0.0000 0.0000 0.4222 1
```

Output
Total DFT energy (no corrections) ... -3.0863 eV/atom
Crystal system ... trigonal
DOS at the Fermi energy ... 16.8 states/eV/cell
Volume ... 28.65 Å³/atom